First-principles (GGA-PBE) data for a relaxed structure of LaHgOs2, as listed in Alexandria via LeMat-Bulk.

It has space group Cmmm (No. 65), with a = 3.187 Å, b = 5.012 Å, c = 9.466 Å, α = 90.00°, β = 90.00° and γ = 90.00°. The distinct sites, in fractional coordinates, are La at (0.000, 0.000, 0.000), Hg at (0.000, 0.000, 0.500) and Os at (0.000, 0.500, 0.250).

The total energy comes out at -6.068 eV per atom. As for the energy of formation: 0.855 eV per atom. Its density is 15.81 Mg/m³.